{"formula": "LiCrTc2N4", "functional": "PBE-GGA", "state": "relaxed", "lattice_angstrom": [[6.0506, 0.0000, 0.0000], [0.0000, 5.5826, 0.0000], [0.0000, 0.0000, 5.4344]], "species": ["Li", "Li", "Cr", "Cr", "Tc", "Tc", "Tc", "Tc", "N", "N", "N", "N", "N", "N", "N", "N"], "fractional_positions": [[0.0000, 0.1336, 0.0000], [0.5000, 0.8664, 0.5000], [0.0000, 0.7999, 0.4659], [0.5000, 0.2001, 0.9659], [0.2483, 0.6605, 0.9910], [0.2517, 0.3395, 0.4910], [0.7483, 0.3395, 0.4910], [0.7517, 0.6605, 0.9910], [0.0000, 0.1353, 0.4036], [0.0000, 0.7987, 0.8020], [0.2475, 0.3369, 0.8467], [0.2525, 0.6631, 0.3467], [0.5000, 0.2013, 0.3020], [0.5000, 0.8647, 0.9036], [0.7475, 0.6631, 0.3467], [0.7525, 0.3369, 0.8467]], "sg": "Pmn2_1", "crystal_system": "orthorhombic", "final_energy_ev_per_atom": -8.3538, "formation_energy_uncorrected_mev_per_atom": -157.5}